(1)
This record from Alexandria via LeMat-Bulk describes a relaxed LiCrSn3 crystal. The functional is GGA-PBE.

* distance to the lowest polymorph of the same formula: 0.0 meV per atom
* SG: Pm-3m
* energy of formation from the pure elements: 0.191 eV/atom

Lattice parameters (Å, degrees): 5.0727 5.0727 5.0727 90.00 90.00 90.00
Last column: nearest neighbours and their distance in Å.
Fractional positions:
Li (0.0000, 0.0000, 0.0000)  12 Sn 3.59
Cr (0.5000, 0.5000, 0.5000)  6 Sn 2.54
Sn (0.0000, 0.5000, 0.5000)  2 Cr 2.54
Sn (0.5000, 0.0000, 0.5000)  2 Cr 2.54
Sn (0.5000, 0.5000, 0.0000)  2 Cr 2.54



(2)
This record from Alexandria via LeMat-Bulk describes a relaxed LiCrSn2 crystal. The functional is GGA-PBE.

* distance to the lowest polymorph of the same formula: 237.0 meV per atom
* SG: I-42d
* energy of formation from the pure elements: 0.240 eV/atom

Lattice parameters (Å, degrees): 4.4012 4.4012 18.9460 90.00 90.00 90.00
Last column: nearest neighbours and their distance in Å.
Fractional positions:
Li (0.0000, 0.0000, 0.0000)  4 Sn 2.83, 4 Cr 3.11
Li (0.0000, 0.5000, 0.2500)  4 Sn 2.83, 4 Cr 3.11
Li (0.5000, 0.0000, 0.7500)  4 Sn 2.83, 4 Cr 3.11
Li (0.5000, 0.5000, 0.5000)  4 Sn 2.83, 4 Cr 3.11
Cr (0.0000, 0.0000, 0.5000)  4 Sn 2.84, 4 Li 3.11
Cr (0.0000, 0.5000, 0.7500)  4 Sn 2.84, 4 Li 3.11
Cr (0.5000, 0.0000, 0.2500)  4 Sn 2.84, 4 Li 3.11
Cr (0.5000, 0.5000, 0.0000)  4 Sn 2.84, 4 Li 3.11
Sn (0.2468, 0.2500, 0.1250)  2 Li 2.83, 2 Cr 2.84, 4 Sn 3.09-3.13
Sn (0.2500, 0.7468, 0.3750)  2 Li 2.83, 2 Cr 2.84, 4 Sn 3.09-3.13
Sn (0.2500, 0.7532, 0.8750)  2 Li 2.83, 2 Cr 2.84, 4 Sn 3.09-3.13
Sn (0.2532, 0.2500, 0.6250)  2 Li 2.83, 2 Cr 2.84, 4 Sn 3.09-3.13
Sn (0.7468, 0.7500, 0.6250)  2 Li 2.83, 2 Cr 2.84, 4 Sn 3.09-3.13
Sn (0.7500, 0.2468, 0.8750)  2 Li 2.83, 2 Cr 2.84, 4 Sn 3.09-3.13
Sn (0.7500, 0.2532, 0.3750)  2 Li 2.83, 2 Cr 2.84, 4 Sn 3.09-3.13
Sn (0.7532, 0.7500, 0.1250)  2 Li 2.83, 2 Cr 2.84, 4 Sn 3.09-3.13



(3)
This record from Alexandria via LeMat-Bulk describes a relaxed LiCrSn2 crystal. The functional is GGA-PBE.

* distance to the lowest polymorph of the same formula: 11.5 meV per atom
* SG: P4/mmm
* energy of formation from the pure elements: 0.015 eV/atom

Lattice parameters (Å, degrees): 3.3926 3.3926 7.0659 90.00 90.00 90.00
Last column: nearest neighbours and their distance in Å.
Fractional positions:
Li (0.0000, 0.0000, 0.0000)  8 Sn 3.03
Cr (0.0000, 0.0000, 0.5000)  8 Sn 2.93
Sn (0.5000, 0.5000, 0.2616)  4 Cr 2.93, 4 Li 3.03
Sn (0.5000, 0.5000, 0.7384)  4 Cr 2.93, 4 Li 3.03



(4)
This record from Alexandria via LeMat-Bulk describes a relaxed LiCr2Sn2 crystal. The functional is GGA-PBE.

* distance to the lowest polymorph of the same formula: 30.7 meV per atom
* SG: P4/mbm
* energy of formation from the pure elements: 0.252 eV/atom

Lattice parameters (Å, degrees): 7.7801 7.7801 2.9587 90.00 90.00 90.00
Last column: nearest neighbours and their distance in Å.
Fractional positions:
Li (0.0000, 0.0000, 0.0000)  4 Sn 2.83, 2 Li 2.96
Li (0.5000, 0.5000, 0.0000)  4 Sn 2.83, 2 Li 2.96
Cr (0.0970, 0.4030, 0.5000)  1 Cr 2.13
Cr (0.4030, 0.9030, 0.5000)  1 Cr 2.13
Cr (0.5970, 0.0970, 0.5000)  1 Cr 2.13
Cr (0.9030, 0.5970, 0.5000)  1 Cr 2.13
Sn (0.1879, 0.6879, 0.0000)  6 Cr 2.76-2.79, 2 Li 2.83, 2 Sn 2.96
Sn (0.3121, 0.1879, 0.0000)  6 Cr 2.76-2.79, 2 Li 2.83, 2 Sn 2.96
Sn (0.6879, 0.8121, 0.0000)  6 Cr 2.76-2.79, 2 Li 2.83, 2 Sn 2.96
Sn (0.8121, 0.3121, 0.0000)  6 Cr 2.76-2.79, 2 Li 2.83, 2 Sn 2.96



(5)
This record from Alexandria via LeMat-Bulk describes a relaxed LiCrSn2 crystal. The functional is GGA-PBE.

* distance to the lowest polymorph of the same formula: 0.0 meV per atom
* SG: Fm-3m
* energy of formation from the pure elements: 0.003 eV/atom

Lattice parameters (Å, degrees): 6.8096 6.8096 6.8096 90.00 90.00 90.00
Last column: nearest neighbours and their distance in Å.
Fractional positions:
Li (0.0000, 0.0000, 0.0000)  8 Sn 2.95
Li (0.0000, 0.5000, 0.5000)  8 Sn 2.95
Li (0.5000, 0.0000, 0.5000)  8 Sn 2.95
Li (0.5000, 0.5000, 0.0000)  8 Sn 2.95
Cr (0.0000, 0.0000, 0.5000)  8 Sn 2.95
Cr (0.0000, 0.5000, 0.0000)  8 Sn 2.95
Cr (0.5000, 0.0000, 0.0000)  8 Sn 2.95
Cr (0.5000, 0.5000, 0.5000)  8 Sn 2.95
Sn (0.2500, 0.2500, 0.2500)  4 Cr 2.95, 4 Li 2.95
Sn (0.2500, 0.2500, 0.7500)  4 Cr 2.95, 4 Li 2.95
Sn (0.2500, 0.7500, 0.2500)  4 Cr 2.95, 4 Li 2.95
Sn (0.2500, 0.7500, 0.7500)  4 Cr 2.95, 4 Li 2.95
Sn (0.7500, 0.2500, 0.2500)  4 Cr 2.95, 4 Li 2.95
Sn (0.7500, 0.2500, 0.7500)  4 Cr 2.95, 4 Li 2.95
Sn (0.7500, 0.7500, 0.2500)  4 Cr 2.95, 4 Li 2.95
Sn (0.7500, 0.7500, 0.7500)  4 Cr 2.95, 4 Li 2.95



(6)
This record from Alexandria via LeMat-Bulk describes a relaxed LiCr2Sn2 crystal. The functional is GGA-PBE.

* distance to the lowest polymorph of the same formula: 0.0 meV per atom
* SG: P4/mbm
* energy of formation from the pure elements: 0.222 eV/atom

Lattice parameters (Å, degrees): 7.6929 7.6929 3.0082 90.00 90.00 90.00
Last column: nearest neighbours and their distance in Å.
Fractional positions:
Li (0.0000, 0.0000, 0.0000)  2 Li 3.01, 8 Sn 3.18, 4 Cr 3.19
Li (0.5000, 0.5000, 0.0000)  2 Li 3.01, 8 Sn 3.18, 4 Cr 3.19
Cr (0.0965, 0.4035, 0.0000)  1 Cr 2.10
Cr (0.4035, 0.9035, 0.0000)  1 Cr 2.10
Cr (0.5965, 0.0965, 0.0000)  1 Cr 2.10
Cr (0.9035, 0.5965, 0.0000)  1 Cr 2.10
Sn (0.1896, 0.6896, 0.5000)  6 Cr 2.76-2.77, 2 Sn 3.01
Sn (0.3104, 0.1896, 0.5000)  6 Cr 2.76-2.77, 2 Sn 3.01
Sn (0.6896, 0.8104, 0.5000)  6 Cr 2.76-2.77, 2 Sn 3.01
Sn (0.8104, 0.3104, 0.5000)  6 Cr 2.76-2.77, 2 Sn 3.01



(7)
This record from Alexandria via LeMat-Bulk describes a relaxed LiCr3Sn crystal. The functional is GGA-PBE.

* distance to the lowest polymorph of the same formula: 0.0 meV per atom
* SG: Pm-3m
* energy of formation from the pure elements: 1.223 eV/atom

Lattice parameters (Å, degrees): 5.2125 5.2125 5.2125 90.00 90.00 90.00
Last column: nearest neighbours and their distance in Å.
Fractional positions:
Li (0.0000, 0.0000, 0.0000)  12 Cr 3.69
Cr (0.0000, 0.5000, 0.5000)  2 Sn 2.61
Cr (0.5000, 0.0000, 0.5000)  2 Sn 2.61
Cr (0.5000, 0.5000, 0.0000)  2 Sn 2.61
Sn (0.5000, 0.5000, 0.5000)  6 Cr 2.61



(8)
This record from Alexandria via LeMat-Bulk describes a relaxed LiTaCr2Sn crystal. The functional is GGA-PBE.

* SG: P4/mmm
* energy of formation from the pure elements: 1.490 eV/atom

Lattice parameters (Å, degrees): 4.8358 4.8358 4.3664 90.00 90.00 90.00
Last column: nearest neighbours and their distance in Å.
Fractional positions:
Li (0.0000, 0.0000, 0.0000)  2 Sn 2.18
Ta (0.5000, 0.5000, 0.0000)  8 Cr 3.26, 4 Li 3.42
Cr (0.0000, 0.5000, 0.5000)  2 Sn 2.42
Cr (0.5000, 0.0000, 0.5000)  2 Sn 2.42
Sn (0.0000, 0.0000, 0.5000)  2 Li 2.18, 4 Cr 2.42



(9)
This record from Alexandria via LeMat-Bulk describes a relaxed SrLiCr2 crystal. The functional is GGA-PBE.

* distance to the lowest polymorph of the same formula: 533.1 meV per atom
* SG: R-3m
* energy of formation from the pure elements: 1.047 eV/atom

Lattice parameters (Å, degrees): 3.3840 3.3840 29.8285 90.00 90.00 120.00
Last column: nearest neighbours and their distance in Å.
Fractional positions:
Sr (0.0000, 0.0000, 0.0000)  6 Cr 3.38, 6 Sr 3.38
Sr (0.3333, 0.6667, 0.6667)  6 Cr 3.38, 6 Sr 3.38
Sr (0.6667, 0.3333, 0.3333)  6 Cr 3.38, 6 Sr 3.38
Li (0.0000, 0.0000, 0.5000)  6 Cr 2.95
Li (0.3333, 0.6667, 0.1667)  6 Cr 2.95
Li (0.6667, 0.3333, 0.8333)  6 Cr 2.95
Cr (0.0000, 0.0000, 0.2407)  3 Li 2.95
Cr (0.0000, 0.0000, 0.7593)  3 Li 2.95
Cr (0.3333, 0.6667, 0.4259)  3 Li 2.95
Cr (0.3333, 0.6667, 0.9074)  3 Li 2.95
Cr (0.6667, 0.3333, 0.0926)  3 Li 2.95
Cr (0.6667, 0.3333, 0.5741)  3 Li 2.95



(10)
This record from Alexandria via LeMat-Bulk describes a relaxed SrLiCr2 crystal. The functional is GGA-PBE.

* distance to the lowest polymorph of the same formula: 353.2 meV per atom
* SG: F-43m
* energy of formation from the pure elements: 0.867 eV/atom

Lattice parameters (Å, degrees): 7.3503 7.3503 7.3503 90.00 90.00 90.00
Last column: nearest neighbours and their distance in Å.
Fractional positions:
Sr (0.0000, 0.0000, 0.0000)  4 Li 3.18, 4 Cr 3.18
Sr (0.0000, 0.5000, 0.5000)  4 Li 3.18, 4 Cr 3.18
Sr (0.5000, 0.0000, 0.5000)  4 Li 3.18, 4 Cr 3.18
Sr (0.5000, 0.5000, 0.0000)  4 Li 3.18, 4 Cr 3.18
Li (0.2500, 0.2500, 0.2500)  4 Cr 3.18, 4 Sr 3.18
Li (0.2500, 0.7500, 0.7500)  4 Cr 3.18, 4 Sr 3.18
Li (0.7500, 0.2500, 0.7500)  4 Cr 3.18, 4 Sr 3.18
Li (0.7500, 0.7500, 0.2500)  4 Cr 3.18, 4 Sr 3.18
Cr (0.0000, 0.0000, 0.5000)  4 Cr 3.18, 4 Li 3.18
Cr (0.0000, 0.5000, 0.0000)  4 Cr 3.18, 4 Li 3.18
Cr (0.2500, 0.2500, 0.7500)  4 Cr 3.18, 4 Sr 3.18
Cr (0.2500, 0.7500, 0.2500)  4 Cr 3.18, 4 Sr 3.18
Cr (0.5000, 0.0000, 0.0000)  4 Cr 3.18, 4 Li 3.18
Cr (0.5000, 0.5000, 0.5000)  4 Cr 3.18, 4 Li 3.18
Cr (0.7500, 0.2500, 0.2500)  4 Cr 3.18, 4 Sr 3.18
Cr (0.7500, 0.7500, 0.7500)  4 Cr 3.18, 4 Sr 3.18



(11)
This record from Alexandria via LeMat-Bulk describes a relaxed SrLiCr2 crystal. The functional is GGA-PBE.

* distance to the lowest polymorph of the same formula: 337.3 meV per atom
* SG: P4/mmm
* energy of formation from the pure elements: 0.851 eV/atom

Lattice parameters (Å, degrees): 3.5330 3.5330 6.7339 90.00 90.00 90.00
Last column: nearest neighbours and their distance in Å.
Fractional positions:
Sr (0.0000, 0.0000, 0.0000)  2 Li 3.37, 8 Cr 3.52, 4 Sr 3.53
Li (0.0000, 0.0000, 0.5000)  8 Cr 2.65
Cr (0.5000, 0.5000, 0.3675)  1 Cr 1.78
Cr (0.5000, 0.5000, 0.6325)  1 Cr 1.78



(12)
This record from Alexandria via LeMat-Bulk describes a relaxed SrLiCr2 crystal. The functional is GGA-PBE.

* distance to the lowest polymorph of the same formula: 358.3 meV per atom
* SG: C2/m
* energy of formation from the pure elements: 0.872 eV/atom

Lattice parameters (Å, degrees): 9.4134 3.1821 5.7188 90.00 104.76 90.00
Last column: nearest neighbours and their distance in Å.
Fractional positions:
Sr (0.0000, 0.0000, 0.0000)  2 Sr 3.18, 4 Li 3.27, 8 Cr 3.39-3.56
Sr (0.5000, 0.5000, 0.0000)  2 Sr 3.18, 4 Li 3.27, 8 Cr 3.39-3.56
Li (0.0000, 0.5000, 0.5000)  6 Cr 2.58-2.82
Li (0.5000, 0.0000, 0.5000)  6 Cr 2.58-2.82
Cr (0.2227, 0.0000, 0.6041)  2 Cr 2.13
Cr (0.2773, 0.5000, 0.3959)  2 Cr 2.13
Cr (0.7227, 0.5000, 0.6041)  2 Cr 2.13
Cr (0.7773, 0.0000, 0.3959)  2 Cr 2.13